Entry 1:
Here is a geometry-optimized Ce2PrPaP4 structure from Alexandria via LeMat-Bulk. Energies are from PBE-GGA.

a = 7.071 Å, b = 4.080 Å, c = 7.073 Å
α = 90.00°, β = 109.41°, γ = 90.00°
Space group P2/m (No. 10)
Asymmetric unit:
Ce1 0.000 0.000 0.000 [1 per cell]
Ce2 0.000 0.500 0.500 [1 per cell]
Pr1 0.500 0.000 0.500 [1 per cell]
Pa1 0.500 0.500 0.000 [1 per cell]
P1 0.249 0.500 0.238 [2 per cell]
P2 0.256 0.000 0.762 [2 per cell]

Values from the calculation:
As for the calculated formation energy: -140 kJ per mole of atoms. Its energy is -7.43 eV/atom.

---

Entry 2:
Here is a geometry-optimized Ce2PrPa3P6 structure from Alexandria via LeMat-Bulk. Energies are from PBE-GGA.

a = 6.990 Å, b = 12.106 Å, c = 7.017 Å
α = 90.00°, β = 109.41°, γ = 90.00°
Space group C2/m (No. 12)
Asymmetric unit:
Ce1 0.000 0.167 0.000 [4 per cell]
Pr1 0.000 0.500 0.000 [2 per cell]
Pa1 0.000 0.000 0.500 [2 per cell]
Pa2 0.000 0.335 0.500 [4 per cell]
P1 0.244 0.169 0.737 [8 per cell]
P2 0.250 0.000 0.262 [4 per cell]

Values from the calculation:
As for the calculated formation energy: -136 kJ per mole of atoms. Its energy is -7.88 eV/atom.

---

Entry 3:
Here is a geometry-optimized Ce4PrPa3P8 structure from Alexandria via LeMat-Bulk. Energies are from PBE-GGA.

a = 8.0968 Å, b = 8.0968 Å, c = 19.8565 Å
α = 90.00°, β = 90.00°, γ = 120.00°
Space group R-3m (No. 166, hexagonal axes)
Asymmetric unit:
Ce1 0.0000 0.0000 0.0000 [3 per cell]
Ce2 0.0000 0.5000 0.0000 [9 per cell]
Pr1 0.0000 0.0000 0.5000 [3 per cell]
Pa1 0.0000 0.5000 0.5000 [9 per cell]
P1 0.0000 0.0000 0.2467 [6 per cell]
P2 0.0094 0.5047 0.7517 [18 per cell]

Values from the calculation:
As for the calculated formation energy: -138 kJ per mole of atoms. Its energy is -7.70 eV/atom.

---

Entry 4:
Here is a geometry-optimized Ce2PuPaP4 structure from Alexandria via LeMat-Bulk. Energies are from PBE-GGA.

a = 6.978 Å, b = 4.034 Å, c = 7.004 Å
α = 90.00°, β = 109.46°, γ = 90.00°
Space group P2/m (No. 10)
Asymmetric unit:
Ce1 0.000 0.000 0.000 [1 per cell]
Ce2 0.500 0.500 0.000 [1 per cell]
Pu1 0.000 0.500 0.500 [1 per cell]
Pa1 0.500 0.000 0.500 [1 per cell]
P1 0.250 0.000 0.741 [2 per cell]
P2 0.256 0.500 0.259 [2 per cell]

Values from the calculation:
As for the calculated formation energy: -133 kJ per mole of atoms. Its energy is -8.55 eV/atom.

---

Entry 5:
Here is a geometry-optimized Ce2Pu3PaP6 structure from Alexandria via LeMat-Bulk. Energies are from PBE-GGA.

a = 6.993 Å, b = 12.112 Å, c = 6.938 Å
α = 90.00°, β = 109.63°, γ = 90.00°
Space group C2/m (No. 12)
Asymmetric unit:
Ce1 0.000 0.166 0.000 [4 per cell]
Pu1 0.000 0.000 0.500 [2 per cell]
Pu2 0.000 0.331 0.500 [4 per cell]
Pa1 0.000 0.500 0.000 [2 per cell]
P1 0.241 0.500 0.746 [4 per cell]
P2 0.247 0.337 0.253 [8 per cell]

Values from the calculation:
As for the calculated formation energy: -127 kJ per mole of atoms. Its energy is -9.38 eV/atom.

---

Entry 6:
Here is a geometry-optimized Ce3PuPa2P6 structure from Alexandria via LeMat-Bulk. Energies are from PBE-GGA.

a = 6.970 Å, b = 12.074 Å, c = 6.995 Å
α = 90.00°, β = 109.40°, γ = 90.00°
Space group C2/m (No. 12)
Asymmetric unit:
Ce1 0.000 0.000 0.000 [2 per cell]
Ce2 0.000 0.334 0.000 [4 per cell]
Pu1 0.000 0.500 0.500 [2 per cell]
Pa1 0.000 0.167 0.500 [4 per cell]
P1 0.244 0.000 0.741 [4 per cell]
P2 0.248 0.332 0.741 [8 per cell]

Values from the calculation:
As for the calculated formation energy: -134 kJ per mole of atoms. Its energy is -8.36 eV/atom.

---

Number 1: total magnetic moment 1.17 μB per formula unit. Number 2: total magnetic moment 0.67 μB per formula unit. Number 3: total magnetic moment 1.38 μB per formula unit. Number 4: total magnetic moment 6.50 μB per formula unit. Number 5: total magnetic moment 17.16 μB per formula unit. Number 6: total magnetic moment 6.45 μB per formula unit.